Record 1
Compound: Tb2Cr2C3
Source: Alexandria
Functional: PBEsol
Structure: relaxed

Cell and atoms, written as POSCAR:
```
Tb2Cr2C3
1.0
-3.323 0.560 0.116
1.018 -3.242 -4.191
-0.421 -3.395 4.355
Cr C Tb
2 3 2
direct
0.158 0.316 0.891
0.842 0.684 0.109
0.712 0.424 0.773
0.288 0.576 0.227
0.000 0.000 0.000
0.396 0.792 0.683
0.604 0.208 0.317
```

ρ: 8.254 g/cm³
space group: C2/m, No. 12
DFT total energy: -0.325 Ha/atom

***

Record 2
Compound: Cs2CuBiCl6
Source: Alexandria
Functional: PBEsol
Structure: relaxed

Cell and atoms, written as POSCAR:
```
Cs2CuBiCl6
1.0
7.322 0.000 0.000
3.661 6.341 0.000
3.661 2.114 5.979
Cs Cu Bi Cl
2 1 1 6
direct
0.750 0.750 0.750
0.250 0.250 0.250
0.500 0.500 0.500
0.000 0.000 0.000
0.738 0.262 0.262
0.738 0.738 0.262
0.262 0.738 0.738
0.738 0.262 0.738
0.262 0.738 0.262
0.262 0.262 0.738
```

raw formation energy: -13.156 eV/f.u.
ρ: 4.492 g/cm³
space group: Fm-3m, No. 225
DFT total energy: -0.131 Ha/atom

***

Record 3
Compound: MoWSe4
Source: Alexandria
Functional: PBEsol
Structure: relaxed

Cell and atoms, written as POSCAR:
```
MoWSe4
1.0
-0.217 -1.137 -3.057
-1.312 -1.692 2.470
-11.285 6.431 -1.590
Mo Se W
1 4 1
direct
0.000 0.000 0.449
0.333 0.667 0.322
0.000 0.000 0.078
0.000 0.000 0.821
0.333 0.667 0.576
0.333 0.667 0.949
```

raw formation energy: -3.909 eV/f.u.
energy above the most stable polymorph in this dataset: 0.000 eV/atom
ρ: 8.167 g/cm³
space group: P3m1, No. 156
DFT total energy: -0.275 Ha/atom

***

Record 4
Compound: MgSi2Cl
Source: Alexandria
Functional: PBEsol
Structure: relaxed

Cell and atoms, written as POSCAR:
```
MgSi2Cl
1.0
3.767 0.000 0.000
1.883 3.260 0.144
1.883 0.737 7.257
Si Mg Cl
2 1 1
direct
0.964 0.960 0.113
0.259 0.257 0.225
0.835 0.837 0.493
0.442 0.446 0.669
```

raw formation energy: -1.892 eV/f.u.
energy above the most stable polymorph in this dataset: 0.000 eV/atom
ρ: 2.170 g/cm³
space group: Cm, No. 8
DFT total energy: -0.157 Ha/atom

***

Record 5
Compound: Mn2NiAg
Source: Alexandria
Functional: PBEsol
Structure: relaxed

Cell and atoms, written as POSCAR:
```
Mn2NiAg
1.0
4.266 0.000 0.000
2.133 3.694 0.000
2.133 1.231 3.483
Ag Mn Ni
1 2 1
direct
0.000 0.000 0.000
0.250 0.250 0.250
0.750 0.750 0.750
0.500 0.500 0.500
```

ρ: 8.363 g/cm³
space group: Fm-3m, No. 225
DFT total energy: -0.253 Ha/atom

***

Record 6
Compound: CuIr2Os
Source: Alexandria
Functional: PBEsol
Structure: relaxed

Cell and atoms, written as POSCAR:
```
CuIr2Os
1.0
2.694 0.000 0.000
1.347 2.333 0.000
1.347 0.778 8.608
Ir Os Cu
2 1 1
direct
0.251 0.251 0.247
0.749 0.749 0.753
0.500 0.500 0.500
0.000 0.000 0.000
```

energy above the most stable polymorph in this dataset: 0.006 eV/atom
ρ: 19.595 g/cm³
space group: R-3m, No. 166
DFT total energy: -0.330 Ha/atom

***

> What is the formula in the sixth record?

CuIr2Os